The following is a DFT calculation (PBE+U) of a relaxed CrBr3F crystal.

DOS at the Fermi energy, states/eV/cell: 24.78
Crystal system: cubic
Energy above the lowest structure with this stoichiometry, kJ per mole of atoms: 0.0
Total DFT energy (no corrections), eV per atom: -3.105

Cell lengths 5.0851, 5.0851, 5.0851 Å; angles 90.00, 90.00, 90.00 degrees
With the nearest neighbours (Å) after each atom.
Space group Pm-3m (No. 221)
Asymmetric unit:
1 Cr 0.0000 0.0000 0.0000  6 Br 2.54
2 Br 0.0000 0.0000 0.5000  2 Cr 2.54
3 F 0.5000 0.5000 0.5000  12 Br 3.60